1.
# AcPuSc2

Crystalline AcPuSc2 at its relaxed geometry (PBE, Alexandria via LeMat-Bulk).

Summary:
- crystal system = cubic
- relative energy among the computed polymorphs (eV per formula unit) = 0.30
- SG = Fm-3m (225)
- formation energy from the elements (meV/atom) = 232

abc: 7.8162 7.8162 7.8162
angles: 90.00 90.00 90.00
Closest atoms and distances in Å follow each position.
Fractional coordinates of all 16 atoms:
1 Ac 0.0000 0.0000 0.0000  8 Sc 3.38
2 Ac 0.0000 0.5000 0.5000  8 Sc 3.38
3 Ac 0.5000 0.0000 0.5000  8 Sc 3.38
4 Ac 0.5000 0.5000 0.0000  8 Sc 3.38
5 Pu 0.0000 0.0000 0.5000  8 Sc 3.38
6 Pu 0.0000 0.5000 0.0000  8 Sc 3.38
7 Pu 0.5000 0.0000 0.0000  8 Sc 3.38
8 Pu 0.5000 0.5000 0.5000  8 Sc 3.38
9 Sc 0.2500 0.2500 0.2500  4 Ac 3.38, 4 Pu 3.38
10 Sc 0.2500 0.2500 0.7500  4 Ac 3.38, 4 Pu 3.38
11 Sc 0.2500 0.7500 0.2500  4 Ac 3.38, 4 Pu 3.38
12 Sc 0.2500 0.7500 0.7500  4 Ac 3.38, 4 Pu 3.38
13 Sc 0.7500 0.2500 0.2500  4 Ac 3.38, 4 Pu 3.38
14 Sc 0.7500 0.2500 0.7500  4 Ac 3.38, 4 Pu 3.38
15 Sc 0.7500 0.7500 0.2500  4 Ac 3.38, 4 Pu 3.38
16 Sc 0.7500 0.7500 0.7500  4 Ac 3.38, 4 Pu 3.38

2.
# PmThSc

Crystalline PmThSc at its relaxed geometry (PBE, Alexandria via LeMat-Bulk).

Summary:
- crystal system = tetragonal
- relative energy among the computed polymorphs (eV per formula unit) = 0.00
- SG = I4mm (107)
- formation energy from the elements (meV/atom) = 54

abc: 3.5439 3.5439 14.4959
angles: 90.00 90.00 90.00
Closest atoms and distances in Å follow each position.
Fractional coordinates of all 6 atoms:
1 Pm 0.0000 0.0000 0.0000  4 Th 3.52, 4 Pm 3.54, 4 Sc 3.58
2 Pm 0.5000 0.5000 0.5000  4 Th 3.52, 4 Pm 3.54, 4 Sc 3.58
3 Th 0.0000 0.0000 0.6708  4 Sc 3.35, 4 Pm 3.52, 4 Th 3.54
4 Th 0.5000 0.5000 0.1708  4 Sc 3.35, 4 Pm 3.52, 4 Th 3.54
5 Sc 0.0000 0.0000 0.3241  4 Th 3.35, 4 Sc 3.54, 4 Pm 3.58
6 Sc 0.5000 0.5000 0.8241  4 Th 3.35, 4 Sc 3.54, 4 Pm 3.58

3.
# Dy6BiPt

Crystalline Dy6BiPt at its relaxed geometry (PBE, Alexandria via LeMat-Bulk).

Summary:
- crystal system = trigonal
- SG = R-3 (148)
- formation energy from the elements (meV/atom) = -296

abc: 7.7064 7.7064 7.7064
angles: 53.13 53.13 53.13
Closest atoms and distances in Å follow each position.
Fractional coordinates of all 8 atoms:
1 Dy 0.0399 0.4239 0.7684  1 Pt 2.74
2 Dy 0.2316 0.9601 0.5761  1 Pt 2.74
3 Dy 0.4239 0.7684 0.0399  1 Pt 2.74
4 Dy 0.5761 0.2316 0.9601  1 Pt 2.74
5 Dy 0.7684 0.0399 0.4239  1 Pt 2.74
6 Dy 0.9601 0.5761 0.2316  1 Pt 2.74
7 Bi 0.5000 0.5000 0.5000  6 Dy 3.07
8 Pt 0.0000 0.0000 0.0000  6 Dy 2.74